(1)
Here is an optimized crystal structure of Ba3Tl2Pd2 from Alexandria via LeMat-Bulk. Energies are from PBE-GGA.

- Crystal system: orthorhombic
- Uncorrected energy: -3.455 eV per atom
- Calculated formation energy: -0.472 eV per atom
- Mass density: 7.53 g/cm3

Unit cell a=6.519 b=9.191 c=15.216 alpha=90.00 beta=90.00 gamma=90.00
Space group Pbcm (No. 57)
Symmetry-distinct sites (fractional):
Ba  0.145  0.245  0.250
Ba  0.342  0.603  0.593
Tl  0.147  0.250  0.000
Tl  0.347  0.596  0.250
Pd  0.119  0.537  0.091

---

(2)
Here is an optimized crystal structure of AcNd2Ho from Alexandria via LeMat-Bulk. Energies are from PBE-GGA.

- Crystal system: cubic
- Uncorrected energy: -4.390 eV per atom
- Calculated formation energy: 0.165 eV per atom
- Mass density: 7.68 g/cm3

Unit cell a=8.379 b=8.379 c=8.379 alpha=90.00 beta=90.00 gamma=90.00
Space group Fm-3m (No. 225)
Symmetry-distinct sites (fractional):
Ac  0.000  0.000  0.000
Nd  0.250  0.250  0.250
Ho  0.000  0.000  0.500

---

(3)
Here is an optimized crystal structure of PmHo2Co from Alexandria via LeMat-Bulk. Energies are from PBE-GGA.

- Crystal system: orthorhombic
- Uncorrected energy: -5.398 eV per atom
- Calculated formation energy: -0.145 eV per atom
- Mass density: 8.55 g/cm3

Unit cell a=6.946 b=9.447 c=6.320 alpha=90.00 beta=90.00 gamma=90.00
Space group Pnma (No. 62)
Symmetry-distinct sites (fractional):
Pm  0.043  0.250  0.139
Ho  0.172  0.069  0.676
Co  0.113  0.750  0.442

---

(4)
Here is an optimized crystal structure of ZnCrMo3 from Alexandria via LeMat-Bulk. Energies are from PBE-GGA.

- Crystal system: cubic
- Uncorrected energy: -6.679 eV per atom
- Calculated formation energy: 1.999 eV per atom
- Mass density: 7.38 g/cm3

Unit cell a=4.501 b=4.501 c=4.501 alpha=90.00 beta=90.00 gamma=90.00
Space group Pm-3m (No. 221)
Symmetry-distinct sites (fractional):
Zn  0.000  0.000  0.000
Cr  0.500  0.500  0.500
Mo  0.000  0.000  0.500

---

(5)
Here is an optimized crystal structure of Li2ScTa from Alexandria via LeMat-Bulk. Energies are from PBE-GGA.

- Crystal system: orthorhombic
- Uncorrected energy: -5.100 eV per atom
- Calculated formation energy: 0.403 eV per atom
- Mass density: 5.17 g/cm3

Unit cell a=2.888 b=4.920 c=5.425 alpha=90.00 beta=90.00 gamma=90.00
Space group Pmmm (No. 47)
Symmetry-distinct sites (fractional):
Li  0.000  0.000  0.000
Li  0.500  0.500  0.000
Sc  0.000  0.500  0.500
Ta  0.500  0.000  0.500

---

(6)
Here is an optimized crystal structure of YCdW3 from Alexandria via LeMat-Bulk. Energies are from PBE-GGA.

- Crystal system: cubic
- Uncorrected energy: -6.822 eV per atom
- Calculated formation energy: 2.426 eV per atom
- Mass density: 10.46 g/cm3

Unit cell a=4.925 b=4.925 c=4.925 alpha=90.00 beta=90.00 gamma=90.00
Space group Pm-3m (No. 221)
Symmetry-distinct sites (fractional):
Y  0.000  0.000  0.000
Cd  0.500  0.500  0.500
W  0.000  0.500  0.500